1.
## NbCdO2 (PBE)

Data for a geometry-optimized NbCdO2 structure.

The volume comes out at 15.65 Å³ per atom. The calculation puts the formation energy from raw total energies at -1.64 eV/atom. The energy above the most stable polymorph in this dataset is 0 meV/atom. The calculation puts the calculated density at 6296 kg/m³. The value obtained for the density of states at the Fermi level is 10.6 states/eV per cell.

It has space group R-3m (No. 166, hexagonal axes), with a = 3.0423 Å, b = 3.0423 Å, c = 23.4271 Å, α = 90.00°, β = 90.00° and γ = 120.00°. The asymmetric unit holds Nb at (0.0000, 0.0000, 0.0000), Cd at (0.0000, 0.0000, 0.5000) and O at (0.0000, 0.0000, 0.3839).

---

2.
## Pm2Pr6Dy (PBE)

Data for a geometry-optimized Pm2Pr6Dy structure.

The volume comes out at 35.54 Å³ per atom. The energy above the most stable polymorph in this dataset is 0 meV/atom. The calculated formation energy is 127 meV/atom. The calculation puts the calculated density at 6739 kg/m³. The value obtained for the density of states at the Fermi level is 26.3 states/eV per cell.

It has space group Cmmm (No. 65), with a = 9.587 Å, b = 18.082 Å, c = 3.690 Å, α = 90.00°, β = 90.00° and γ = 90.00°. The asymmetric unit holds Pm at (0.000, 0.176, 0.000), Pr at (0.175, 0.335, 0.500), Pr at (0.184, 0.500, 0.000) and Dy at (0.000, 0.000, 0.500).

---

3.
## Li2PuZnSb2 (PBE)

Data for a geometry-optimized Li2PuZnSb2 structure.

The volume comes out at 22.09 Å³ per atom. The calculation puts the formation energy from raw total energies at -0.46 eV/atom. The calculation puts the calculated density at 7100 kg/m³. The value obtained for the density of states at the Fermi level is 20.1 states/eV per cell.

It has space group Pmma (No. 51), with a = 6.710 Å, b = 4.648 Å, c = 8.502 Å, α = 90.00°, β = 90.00° and γ = 90.00°. The asymmetric unit holds Li at (0.000, 0.000, 0.000), Li at (0.250, 0.500, 0.152), Pu at (0.000, 0.500, 0.500), Zn at (0.250, 0.000, 0.670), Sb at (0.250, 0.000, 0.327) and Sb at (0.250, 0.500, 0.834).

---

4.
## Pm7Er12Mg (PBE)

Data for a geometry-optimized Pm7Er12Mg structure.

The volume comes out at 32.63 Å³ per atom. The calculated formation energy is 206 meV/atom. The calculation puts the calculated density at 7752 kg/m³. The value obtained for the density of states at the Fermi level is 93.2 states/eV per cell.

It has space group R-3 (No. 148, hexagonal axes), with a = 11.8732 Å, b = 11.8732 Å, c = 16.0351 Å, α = 90.00°, β = 90.00° and γ = 120.00°. The asymmetric unit holds Pm at (0.0000, 0.0000, 0.0000), Pm at (0.0588, 0.8712, 0.2900), Er at (0.0333, 0.5769, 0.2187), Er at (0.0539, 0.4700, 0.5841) and Mg at (0.0000, 0.0000, 0.5000).

---

5.
## BaMg2Fe (PBE)

Data for a geometry-optimized BaMg2Fe structure.

The volume comes out at 25.24 Å³ per atom. The calculated formation energy is 331 meV/atom. The calculation puts the calculated density at 3976 kg/m³. The value obtained for the density of states at the Fermi level is 4.6 states/eV per cell.

It has space group P2/m (No. 10), with a = 3.360 Å, b = 3.442 Å, c = 8.732 Å, α = 90.00°, β = 90.06° and γ = 90.00°. The asymmetric unit holds Ba at (0.000, 0.000, 0.000), Mg at (0.499, 0.500, 0.329) and Fe at (0.000, 0.000, 0.500).

---

6.
## LiMgCo2H (PBE)

Data for a geometry-optimized LiMgCo2H structure.

The volume comes out at 10.66 Å³ per atom. The value obtained for the total energy is -20.8 eV per cell. The calculation puts the calculated density at 4679 kg/m³. The value obtained for the density of states at the Fermi level is 5.8 states/eV per cell.

It has space group P4/mmm (No. 123), with a = 3.608 Å, b = 3.608 Å, c = 4.092 Å, α = 90.00°, β = 90.00° and γ = 90.00°. The asymmetric unit holds Li at (0.000, 0.000, 0.000), Mg at (0.500, 0.500, 0.000), Co at (0.000, 0.500, 0.500) and H at (0.000, 0.000, 0.500).

---

7.
## NpAgCO5 (PBE)

Data for a geometry-optimized NpAgCO5 structure.

The volume comes out at 13.27 Å³ per atom. The calculation puts the formation energy from raw total energies at -1.61 eV/atom. The calculation puts the calculated density at 6834 kg/m³. The value obtained for the density of states at the Fermi level is 21.1 states/eV per cell.

It has space group C2/c (No. 15), with a = 7.105 Å, b = 8.530 Å, c = 7.774 Å, α = 90.00°, β = 115.69° and γ = 90.00°. The asymmetric unit holds Np at (0.250, 0.250, 0.000), Ag at (0.000, 0.089, 0.250), C at (0.000, 0.430, 0.250), O at (0.000, 0.166, 0.750), O at (0.045, 0.330, 0.127) and O at (0.174, 0.477, 0.857).

---

8.
## LiCr2Mo (PBE)

Data for a geometry-optimized LiCr2Mo structure.

The volume comes out at 13.11 Å³ per atom. The energy above the most stable polymorph in this dataset is 163 meV/atom. The calculated formation energy is 458 meV/atom. The calculation puts the calculated density at 6550 kg/m³. The value obtained for the density of states at the Fermi level is 3.4 states/eV per cell.

It has space group Pmmm (No. 47), with a = 2.999 Å, b = 4.105 Å, c = 4.260 Å, α = 90.00°, β = 90.00° and γ = 90.00°. The asymmetric unit holds Li at (0.000, 0.000, 0.000), Cr at (0.000, 0.500, 0.500), Cr at (0.500, 0.500, 0.000) and Mo at (0.500, 0.000, 0.500).

---

9.
## Ba2LaTe (PBE)

Data for a geometry-optimized Ba2LaTe structure.

The volume comes out at 50.04 Å³ per atom. The calculation puts the formation energy from raw total energies at -0.62 eV/atom. The calculation puts the calculated density at 4490 kg/m³. The value obtained for the density of states at the Fermi level is 9.6 states/eV per cell.

It has space group Immm (No. 71), with a = 4.392 Å, b = 4.625 Å, c = 19.702 Å, α = 90.00°, β = 90.00° and γ = 90.00°. The asymmetric unit holds Ba at (0.000, 0.000, 0.165), La at (0.000, 0.500, 0.000) and Te at (0.000, 0.500, 0.500).

---

10.
## PaBe2HgO6 (PBE)

Data for a geometry-optimized PaBe2HgO6 structure.

The volume comes out at 11.77 Å³ per atom. The calculation puts the formation energy from raw total energies at -2.21 eV/atom. The calculation puts the calculated density at 7695 kg/m³. The value obtained for the density of states at the Fermi level is 21.2 states/eV per cell.

It has space group C2/c (No. 15), with a = 9.586 Å, b = 9.769 Å, c = 5.159 Å, α = 90.00°, β = 102.91° and γ = 90.00°. The asymmetric unit holds Pa at (0.000, 0.182, 0.250), Be at (0.205, 0.079, 0.803), Hg at (0.000, 0.404, 0.750), O at (0.124, 0.385, 0.147), O at (0.126, 0.208, 0.625) and O at (0.153, 0.051, 0.085).

---

11.
## CdHgTe2 (PBE)

Data for a geometry-optimized CdHgTe2 structure.

The volume comes out at 37.40 Å³ per atom. The calculation puts the formation energy from raw total energies at -0.12 eV/atom. The energy above the most stable polymorph in this dataset is 194 meV/atom. The calculation puts the calculated density at 6306 kg/m³. The value obtained for the density of states at the Fermi level is 1.1 states/eV per cell.

It has space group Cm (No. 8), with a = 8.208 Å, b = 4.659 Å, c = 7.877 Å, α = 90.00°, β = 96.65° and γ = 90.00°. The asymmetric unit holds Cd at (0.000, 0.000, 0.000), Hg at (0.080, 0.000, 0.608), Te at (0.180, 0.500, 0.087) and Te at (0.399, 0.000, 0.521).

---

12.
## Li4CdRh3O8 (PBE)

Data for a geometry-optimized Li4CdRh3O8 structure.

The volume comes out at 10.25 Å³ per atom. The calculation puts the formation energy from raw total energies at -1.21 eV/atom. The calculation puts the calculated density at 5842 kg/m³. The value obtained for the density of states at the Fermi level is 21.6 states/eV per cell.

It has space group R-3m (No. 166, hexagonal axes), with a = 6.2643 Å, b = 6.2643 Å, c = 14.4740 Å, α = 90.00°, β = 90.00° and γ = 120.00°. The asymmetric unit holds Li at (0.0000, 0.0000, 0.0000), Li at (0.0000, 0.5000, 0.0000), Cd at (0.0000, 0.0000, 0.5000), Rh at (0.0000, 0.5000, 0.5000), O at (0.0000, 0.0000, 0.2414) and O at (0.0297, 0.5149, 0.7545).